1.
YIn2: optimized geometry, PBE.

Lattice parameters (Å, degrees): 6.8185 6.7200 3.5681 76.25 73.20 30.55
Last column: nearest neighbours and their distance in Å.
Fractional positions:
1 Y 0.0000 0.0000 0.0000  8 In 3.22-3.42, 4 Y 3.57
2 In 0.3278 0.3278 0.6722  4 In 3.09-3.29, 4 Y 3.22-3.42
3 In 0.6722 0.6722 0.3278  4 In 3.09-3.29, 4 Y 3.22-3.42

total magnetic moment	0.205	μB/atom
calculated formation energy	-0.279	eV/atom
ρ	6.7	g/cm3
symmetry	No. 69
crystal system	orthorhombic

2.
YIn4: optimized geometry, PBE.

Lattice parameters (Å, degrees): 6.5187 6.5187 6.5187 133.72 133.72 67.53
Last column: nearest neighbours and their distance in Å.
Fractional positions:
1 Y 0.0000 0.0000 0.0000  18 In 3.73-4.07
2 In 0.2500 0.7500 0.5000  4 In 2.90
3 In 0.3751 0.3751 0.0000  5 In 2.71-2.90
4 In 0.6249 0.6249 0.0000  5 In 2.71-2.90
5 In 0.7500 0.2500 0.5000  4 In 2.90

total magnetic moment	0.000	μB/atom
calculated formation energy	0.035	eV/atom
ρ	6.4	g/cm3
energy relative to the lowest polymorph listed for this composition	0.0	meV per atom
symmetry	No. 139
crystal system	tetragonal

3.
Y2In: optimized geometry, PBE.

Lattice parameters (Å, degrees): 6.2113 6.2113 6.2113 105.91 105.91 116.86
Last column: nearest neighbours and their distance in Å.
Fractional positions:
1 Y 0.1685 0.6685 0.8371  4 In 3.22, 1 Y 3.57
2 Y 0.3315 0.1685 0.5000  4 In 3.22, 1 Y 3.57
3 Y 0.6685 0.8315 0.5000  4 In 3.22, 1 Y 3.57
4 Y 0.8315 0.3315 0.1629  4 In 3.22, 1 Y 3.57
5 In 0.2500 0.2500 0.0000  8 Y 3.22, 2 In 3.25
6 In 0.7500 0.7500 0.0000  8 Y 3.22, 2 In 3.25

total magnetic moment	0.352	μB/atom
calculated formation energy	-0.291	eV/atom
ρ	5.3	g/cm3
symmetry	No. 140
crystal system	tetragonal

4.
Y3In5: optimized geometry, PBE.

Lattice parameters (Å, degrees): 9.0040 9.0040 6.3018 90.00 90.00 120.00
Last column: nearest neighbours and their distance in Å.
Fractional positions:
1 Y 0.0000 0.4045 0.2500  7 In 3.16-3.43
2 Y 0.0000 0.5955 0.7500  7 In 3.16-3.43
3 Y 0.4045 0.0000 0.2500  7 In 3.16-3.43
4 Y 0.4045 0.4045 0.7500  7 In 3.16-3.43
5 Y 0.5955 0.0000 0.7500  7 In 3.16-3.43
6 Y 0.5955 0.5955 0.2500  7 In 3.16-3.43
7 In 0.0000 0.2146 0.7500  3 Y 3.16-3.43, 2 In 3.35
8 In 0.0000 0.7854 0.2500  3 Y 3.16-3.43, 2 In 3.35
9 In 0.2146 0.0000 0.7500  3 Y 3.16-3.43, 2 In 3.35
10 In 0.2146 0.2146 0.2500  3 Y 3.16-3.43, 2 In 3.35
11 In 0.3333 0.6667 0.0000  2 In 3.15, 6 Y 3.16
12 In 0.3333 0.6667 0.5000  2 In 3.15, 6 Y 3.16
13 In 0.6667 0.3333 0.0000  2 In 3.15, 6 Y 3.16
14 In 0.6667 0.3333 0.5000  2 In 3.15, 6 Y 3.16
15 In 0.7854 0.0000 0.2500  3 Y 3.16-3.43, 2 In 3.35
16 In 0.7854 0.7854 0.7500  3 Y 3.16-3.43, 2 In 3.35

total magnetic moment	0.000	μB/atom
calculated formation energy	-0.273	eV/atom
ρ	6.3	g/cm3
energy relative to the lowest polymorph listed for this composition	217.1	meV per atom
symmetry	No. 193
crystal system	hexagonal

5.
YIn8: optimized geometry, PBE.

Lattice parameters (Å, degrees): 7.5604 7.5604 7.5604 95.26 95.26 144.75
Last column: nearest neighbours and their distance in Å.
Fractional positions:
1 Y 0.0000 0.0000 0.0000  12 In 3.35-3.42
2 In 0.0000 0.3353 0.3353  11 In 3.30-3.37, 1 Y 3.42
3 In 0.0000 0.6647 0.6647  11 In 3.30-3.37, 1 Y 3.42
4 In 0.3304 0.3304 0.6609  10 In 3.26-3.46, 2 Y 3.35
5 In 0.3304 0.6696 0.0000  10 In 3.26-3.46, 2 Y 3.35
6 In 0.3353 0.0000 0.3353  11 In 3.30-3.37, 1 Y 3.42
7 In 0.6647 0.0000 0.6647  11 In 3.30-3.37, 1 Y 3.42
8 In 0.6696 0.3304 0.0000  10 In 3.26-3.46, 2 Y 3.35
9 In 0.6696 0.6696 0.3391  10 In 3.26-3.46, 2 Y 3.35

total magnetic moment	0.000	μB/atom
calculated formation energy	-0.096	eV/atom
ρ	7.0	g/cm3
symmetry	No. 139
crystal system	tetragonal

6.
YIn6: optimized geometry, PBE.

Lattice parameters (Å, degrees): 6.8877 6.8877 6.8877 109.47 109.47 109.47
Last column: nearest neighbours and their distance in Å.
Fractional positions:
1 Y 0.0000 0.0000 0.0000  24 In 4.45
2 In 0.2500 0.5000 0.7500  4 In 2.81
3 In 0.2500 0.7500 0.5000  4 In 2.81
4 In 0.5000 0.2500 0.7500  4 In 2.81
5 In 0.5000 0.7500 0.2500  4 In 2.81
6 In 0.7500 0.2500 0.5000  4 In 2.81
7 In 0.7500 0.5000 0.2500  4 In 2.81

total magnetic moment	0.000	μB/atom
calculated formation energy	0.467	eV/atom
ρ	5.1	g/cm3
symmetry	No. 229
crystal system	cubic

7.
Y2In: optimized geometry, PBE.

Lattice parameters (Å, degrees): 5.1972 5.1972 5.1972 60.00 60.00 60.00
Last column: nearest neighbours and their distance in Å.
Fractional positions:
1 Y 0.2500 0.2500 0.2500  4 In 3.18
2 Y 0.7500 0.7500 0.7500  4 In 3.18
3 In 0.0000 0.0000 0.0000  8 Y 3.18

total magnetic moment	0.000	μB/atom
calculated formation energy	-0.143	eV/atom
ρ	4.9	g/cm3
symmetry	No. 225
crystal system	cubic

8.
Y2In: optimized geometry, PBE.

Lattice parameters (Å, degrees): 5.2327 5.2327 3.6630 90.00 90.00 120.00
Last column: nearest neighbours and their distance in Å.
Fractional positions:
1 Y 0.3333 0.6667 0.2778  3 In 3.19, 3 Y 3.43
2 Y 0.6667 0.3333 0.7222  3 In 3.19, 3 Y 3.43
3 In 0.0000 0.0000 0.0000  6 Y 3.19

total magnetic moment	0.000	μB/atom
calculated formation energy	-0.253	eV/atom
ρ	5.6	g/cm3
symmetry	No. 164
crystal system	trigonal

9.
Y3In5: optimized geometry, PBE.

Lattice parameters (Å, degrees): 12.3371 10.4439 6.4742 90.00 90.00 90.00
Last column: nearest neighbours and their distance in Å.
Fractional positions:
1 Y 0.0563 0.2500 0.1486  8 In 3.05-3.38
2 Y 0.1431 0.5059 0.6091  10 In 3.16-3.54
3 Y 0.1431 0.9941 0.6091  10 In 3.16-3.54
4 Y 0.3569 0.0059 0.1091  10 In 3.16-3.54
5 Y 0.3569 0.4941 0.1091  10 In 3.16-3.54
6 Y 0.4437 0.7500 0.6486  8 In 3.05-3.38
7 Y 0.5563 0.2500 0.3514  8 In 3.05-3.38
8 Y 0.6431 0.5059 0.8909  10 In 3.16-3.54
9 Y 0.6431 0.9941 0.8909  10 In 3.16-3.54
10 Y 0.8569 0.0059 0.3909  10 In 3.16-3.54
11 Y 0.8569 0.4941 0.3909  10 In 3.16-3.54
12 Y 0.9437 0.7500 0.8514  8 In 3.05-3.38
13 In 0.0058 0.2500 0.6169  4 In 3.02-3.33, 3 Y 3.10-3.16
14 In 0.0990 0.5444 0.1242  4 In 3.02-3.22, 4 Y 3.12-3.38
15 In 0.0990 0.9556 0.1242  4 In 3.02-3.22, 4 Y 3.12-3.38
16 In 0.2150 0.7500 0.8724  3 In 3.05-3.12, 4 Y 3.17-3.35
17 In 0.2465 0.2500 0.8484  5 Y 3.05-3.35, 5 In 3.12-3.33
18 In 0.2535 0.7500 0.3484  5 Y 3.05-3.35, 5 In 3.12-3.33
19 In 0.2850 0.2500 0.3724  3 In 3.05-3.12, 4 Y 3.17-3.35
20 In 0.4010 0.0444 0.6242  4 In 3.02-3.22, 4 Y 3.12-3.38
21 In 0.4010 0.4556 0.6242  4 In 3.02-3.22, 4 Y 3.12-3.38
22 In 0.4942 0.7500 0.1169  4 In 3.02-3.33, 3 Y 3.10-3.16
23 In 0.5058 0.2500 0.8831  4 In 3.02-3.33, 3 Y 3.10-3.16
24 In 0.5990 0.5444 0.3758  4 In 3.02-3.22, 4 Y 3.12-3.38
25 In 0.5990 0.9556 0.3758  4 In 3.02-3.22, 4 Y 3.12-3.38
26 In 0.7150 0.7500 0.6276  3 In 3.05-3.12, 4 Y 3.17-3.35
27 In 0.7465 0.2500 0.6516  5 Y 3.05-3.35, 5 In 3.12-3.33
28 In 0.7535 0.7500 0.1516  5 Y 3.05-3.35, 5 In 3.12-3.33
29 In 0.7850 0.2500 0.1276  3 In 3.05-3.12, 4 Y 3.17-3.35
30 In 0.9010 0.0444 0.8758  4 In 3.02-3.22, 4 Y 3.12-3.38
31 In 0.9010 0.4556 0.8758  4 In 3.02-3.22, 4 Y 3.12-3.38
32 In 0.9942 0.7500 0.3831  4 In 3.02-3.33, 3 Y 3.10-3.16

total magnetic moment	0.000	μB/atom
calculated formation energy	-0.490	eV/atom
ρ	6.7	g/cm3
energy relative to the lowest polymorph listed for this composition	0.0	meV per atom
symmetry	No. 62
crystal system	orthorhombic

10.
Y3In5: optimized geometry, PBE.

Lattice parameters (Å, degrees): 6.3956 6.3956 10.4043 90.00 90.00 78.43
Last column: nearest neighbours and their distance in Å.
Fractional positions:
1 Y 0.1190 0.8810 0.7500  9 In 3.12-3.42
2 Y 0.2954 0.2954 0.0000  10 In 3.20-3.50
3 Y 0.2954 0.2954 0.5000  10 In 3.20-3.50
4 Y 0.7046 0.7046 0.0000  10 In 3.20-3.50
5 Y 0.7046 0.7046 0.5000  10 In 3.20-3.50
6 Y 0.8810 0.1190 0.2500  9 In 3.12-3.42
7 In 0.0070 0.4277 0.7500  4 In 3.04-3.30, 3 Y 3.12-3.20
8 In 0.1929 0.8071 0.0444  4 In 3.04-3.25, 6 Y 3.12-3.35
9 In 0.1929 0.8071 0.4556  4 In 3.04-3.25, 6 Y 3.12-3.35
10 In 0.4277 0.0070 0.2500  4 In 3.04-3.30, 3 Y 3.12-3.20
11 In 0.4953 0.5047 0.2500  5 Y 3.12-3.30, 6 In 3.15-3.30
12 In 0.5047 0.4953 0.7500  5 Y 3.12-3.30, 6 In 3.15-3.30
13 In 0.5723 0.9930 0.7500  4 In 3.04-3.30, 3 Y 3.12-3.20
14 In 0.8071 0.1929 0.5444  4 In 3.04-3.25, 6 Y 3.12-3.35
15 In 0.8071 0.1929 0.9556  4 In 3.04-3.25, 6 Y 3.12-3.35
16 In 0.9930 0.5723 0.2500  4 In 3.04-3.30, 3 Y 3.12-3.20

total magnetic moment	0.000	μB/atom
calculated formation energy	-0.488	eV/atom
ρ	6.7	g/cm3
energy relative to the lowest polymorph listed for this composition	2.3	meV per atom
symmetry	No. 63
crystal system	orthorhombic

11.
Y2In: optimized geometry, PBE.

Lattice parameters (Å, degrees): 5.5328 5.5328 5.5328 140.52 117.78 76.24
Last column: nearest neighbours and their distance in Å.
Fractional positions:
1 Y 0.2035 0.2035 0.0000  4 In 3.19-3.36, 5 Y 3.51-3.54
2 Y 0.7965 0.7965 0.0000  4 In 3.19-3.36, 5 Y 3.51-3.54
3 In 0.5000 0.0000 0.5000  8 Y 3.19-3.36

total magnetic moment	0.000	μB/atom
calculated formation energy	-0.121	eV/atom
ρ	5.2	g/cm3
symmetry	No. 71
crystal system	orthorhombic